--- a ---
{"formula": "TcPH3", "functional": "PBE", "state": "optimized geometry", "lattice": [[3.472, 0.000, 0.000], [0.000, 3.472, 0.000], [0.000, 0.000, 3.472]], "species": ["P", "Tc", "H", "H", "H"], "fractional_positions": [[0.500, 0.500, 0.500], [0.000, 0.000, 0.000], [0.000, 0.500, 0.000], [0.000, 0.000, 0.500], [0.500, 0.000, 0.000]], "sg": "Pm-3m", "vol_a3_per_atom": 8.37, "n_ef_per_ev_atom": 0.559}

=====

--- b ---
{"formula": "TcPH3", "functional": "PBE", "state": "optimized geometry", "lattice": [[3.359, 0.000, 0.000], [0.000, 3.359, 0.000], [0.000, 0.000, 3.359]], "species": ["P", "Tc", "H", "H", "H"], "fractional_positions": [[0.000, 0.000, 0.000], [0.500, 0.500, 0.500], [0.000, 0.500, 0.000], [0.000, 0.000, 0.500], [0.500, 0.000, 0.000]], "sg": "Pm-3m", "vol_a3_per_atom": 7.58, "n_ef_per_ev_atom": 0.631}

=====

Of them, a has the highest stability.

=====

--- a ---
{"formula": "Te2PH", "functional": "PBE", "state": "optimized geometry", "lattice": [[-7.877, -4.028, -2.298], [-6.513, -6.384, -0.619], [-8.133, -4.076, 0.890]], "species": ["P", "Te", "Te", "H"], "fractional_positions": [[0.000, 0.000, 0.000], [0.898, 0.898, 0.898], [0.102, 0.102, 0.102], [0.500, 0.500, 0.500]], "sg": "R-3m", "vol_a3_per_atom": 19.84, "n_ef_per_ev_atom": 0.578}

=====

--- b ---
{"formula": "Te2PH", "functional": "PBE", "state": "optimized geometry", "lattice": [[-0.978, -6.446, 3.534], [2.959, -6.339, 2.459], [1.694, -4.327, 5.779]], "species": ["P", "Te", "Te", "H"], "fractional_positions": [[0.500, 0.500, 0.500], [0.907, 0.907, 0.907], [0.093, 0.093, 0.093], [0.000, 0.000, 0.000]], "sg": "R-3m", "vol_a3_per_atom": 25.38, "n_ef_per_ev_atom": 0.000}

=====

Of them, b has the highest stability.

=====

--- a ---
{"formula": "Te2PH", "functional": "PBE", "state": "optimized geometry", "lattice": [[6.615, 0.000, 0.000], [0.000, 6.615, 0.000], [3.308, 3.308, 3.805]], "species": ["P", "P", "Te", "Te", "Te", "Te", "H", "H"], "fractional_positions": [[0.000, 0.000, 0.000], [0.750, 0.250, 0.500], [0.591, 0.125, 0.250], [0.159, 0.625, 0.250], [0.375, 0.409, 0.750], [0.875, 0.841, 0.750], [0.500, 0.500, 0.000], [0.250, 0.750, 0.500]], "sg": "I-42d", "vol_a3_per_atom": 20.82, "n_ef_per_ev_atom": 0.489}

=====

--- b ---
{"formula": "Te2PH", "functional": "PBE", "state": "optimized geometry", "lattice": [[3.168, -3.503, -0.789], [-1.522, -4.469, -0.801], [0.407, -1.922, -4.367]], "species": ["P", "Te", "Te", "H"], "fractional_positions": [[0.500, 0.500, 0.500], [0.250, 0.250, 0.250], [0.750, 0.750, 0.750], [0.000, 0.000, 0.000]], "sg": "Fm-3m", "vol_a3_per_atom": 19.41, "n_ef_per_ev_atom": 0.514}

=====

Of them, a has the highest stability.

=====

--- a ---
{"formula": "Th2PH", "functional": "PBE", "state": "optimized geometry", "lattice": [[-1.466, -3.520, 0.663], [0.768, -2.907, -2.438], [5.121, -3.704, 2.958]], "species": ["P", "Th", "Th", "H"], "fractional_positions": [[0.000, 0.000, 0.000], [0.755, 0.755, 0.734], [0.245, 0.245, 0.266], [0.500, 0.500, 0.500]], "sg": "R-3m", "vol_a3_per_atom": 21.44, "n_ef_per_ev_atom": 0.750}

=====

--- b ---
{"formula": "Th2PH", "functional": "PBE", "state": "optimized geometry", "lattice": [[-2.102, 1.782, -2.664], [-3.728, -0.814, -0.360], [-3.466, 5.295, 3.518]], "species": ["Th", "Th", "P", "H"], "fractional_positions": [[0.086, 0.086, 0.741], [0.252, 0.252, 0.245], [0.669, 0.669, 0.992], [0.493, 0.493, 0.522]], "sg": "R3m", "vol_a3_per_atom": 21.93, "n_ef_per_ev_atom": 0.865}

=====

Of them, a has the highest stability.